Crystalline Tb5Th3 at its relaxed geometry. Source: the Alexandria database, functional PBE.

```
Tb5Th3
1.0
3.579 0.000 0.000
0.000 3.579 0.000
0.000 0.000 20.136
Tb Th
5 3
direct
0.000 0.000 0.000
0.500 0.500 0.380
0.500 0.500 0.620
0.000 0.000 0.246
0.000 0.000 0.754
0.500 0.500 0.125
0.500 0.500 0.875
0.000 0.000 0.500
```

Results
The total DFT energy (no corrections) comes out at -5.646 eV per atom. For the energy of formation, the calculation gives 0.031 eV per atom. For the density of states at the Fermi level, the calculation gives 9.62 states/eV/f.u.